1.
The following is a SCAN calculation of K2CoCu at its PBEsol-relaxed geometry, from Alexandria via LeMat-Bulk.

Summary:
Calculated formation energy: 878 meV per atom
M_tot: 2.0 μB per cell

a b c (Å): 2.755 4.081 8.846
angles (deg): 90.00 90.00 90.00
Sites, in units of the cell vectors:
K1 0.000 0.000 0.249
K2 0.000 0.000 0.751
Co1 0.500 0.500 0.000
Cu1 0.500 0.500 0.500


2.
The following is a SCAN calculation of K4CoCu at its PBEsol-relaxed geometry, from Alexandria via LeMat-Bulk.

Summary:
Calculated formation energy: 1087 meV per atom
M_tot: 2.3 μB per cell

a b c (Å): 6.935 6.935 6.935
angles (deg): 60.00 60.00 60.00
Sites, in units of the cell vectors:
K1 0.125 0.125 0.125
K2 0.125 0.125 0.624
K3 0.125 0.624 0.125
K4 0.624 0.125 0.125
Co1 0.750 0.750 0.750
Cu1 0.500 0.500 0.500


3.
The following is a SCAN calculation of KCoCu2 at its PBEsol-relaxed geometry, from Alexandria via LeMat-Bulk.

Summary:
Calculated formation energy: 551 meV per atom
M_tot: 1.9 μB per cell

a b c (Å): 2.561 4.058 6.798
angles (deg): 90.00 91.73 90.00
Sites, in units of the cell vectors:
K1 0.000 0.000 0.000
Co1 0.952 0.500 0.372
Cu1 0.463 0.000 0.452
Cu2 0.472 0.500 0.669


> Among the records above, which one has the highest calculated formation energy?

K4CoCu


> Among the records above, which one has the highest calculated formation energy?

K4CoCu


Repeat the first record exactly.
The following is a SCAN calculation of K2CoCu at its PBEsol-relaxed geometry, from Alexandria via LeMat-Bulk.

Summary:
Calculated formation energy: 878 meV per atom
M_tot: 2.0 μB per cell

a b c (Å): 2.755 4.081 8.846
angles (deg): 90.00 90.00 90.00
Sites, in units of the cell vectors:
K1 0.000 0.000 0.249
K2 0.000 0.000 0.751
Co1 0.500 0.500 0.000
Cu1 0.500 0.500 0.500